(1)
## BaScAlS4 (PBE-GGA)

Data for a relaxed BaScAlS4 crystal.

Properties
- SG = P2_1/m, No. 11
- raw formation energy (eV per atom) = -1.6430

abc: 6.3689 6.6877 8.3838
angles: 90.00 107.61 90.00
Positions (direct):
1 Ba 0.7531 0.7500 0.9428
2 Ba 0.2469 0.2500 0.0572
3 Sc 0.7892 0.7500 0.4526
4 Sc 0.2108 0.2500 0.5474
5 Al 0.2419 0.7500 0.3365
6 Al 0.7581 0.2500 0.6635
7 S 0.0070 0.5019 0.7030
8 S 0.9930 0.0019 0.2970
9 S 0.9930 0.4981 0.2970
10 S 0.0070 0.9981 0.7030
11 S 0.4367 0.7500 0.1568
12 S 0.5633 0.2500 0.8432
13 S 0.4826 0.7500 0.5864
14 S 0.5174 0.2500 0.4136

---

(2)
## Cd2AgRu2 (PBE-GGA)

Data for a relaxed Cd2AgRu2 crystal.

Properties
- SG = P4/mbm, No. 127
- E_form (eV/atom) = 0.4962

abc: 6.8043 6.8043 4.0405
angles: 90.00 90.00 90.00
Last column: magnetic moment on the atom in μB.
Positions (direct):
1 Ru 0.3802 0.8802 0.0000  0.14
2 Ru 0.8802 0.6198 0.0000  0.14
3 Ru 0.6198 0.1198 0.0000  0.14
4 Ru 0.1198 0.3802 0.0000  0.14
5 Ag 0.0000 0.0000 0.0000  0.00
6 Ag 0.5000 0.5000 0.0000  0.00
7 Cd 0.1795 0.6795 0.5000  0.00
8 Cd 0.6795 0.8205 0.5000  0.00
9 Cd 0.8205 0.3205 0.5000  0.00
10 Cd 0.3205 0.1795 0.5000  0.00

---

(3)
## PaAsS2 (PBE-GGA)

Data for a relaxed PaAsS2 crystal.

Properties
- SG = R-3m, No. 166
- raw formation energy (eV per atom) = -0.0518

abc: 3.4776 3.4776 8.7248
angles: 78.50 78.50 60.00
Positions (direct):
1 As 0.5000 0.5000 0.5000
2 Pa 0.0000 0.0000 0.0000
3 S 0.1051 0.1051 0.6846
4 S 0.8949 0.8949 0.3154

---

(4)
## DyTh3C3 (PBE-GGA)

Data for a relaxed DyTh3C3 crystal.

Properties
- SG = Pm-3m, No. 221
- E_form (eV/atom) = -0.2196

abc: 5.2235 5.2235 5.2235
angles: 90.00 90.00 90.00
Positions (direct):
1 Dy 0.5000 0.5000 0.5000
2 Th 0.0000 0.5000 0.0000
3 Th 0.0000 0.0000 0.5000
4 Th 0.5000 0.0000 0.0000
5 C 0.5000 0.0000 0.5000
6 C 0.5000 0.5000 0.0000
7 C 0.0000 0.5000 0.5000

---

(5)
## Mg4Si3 (PBE-GGA)

Data for a relaxed Mg4Si3 crystal.

Properties
- SG = P-1, No. 2
- energy relative to the lowest polymorph listed for this composition (eV per atom) = 0.032
- raw formation energy (eV per atom) = -0.0002

abc: 5.2255 6.8208 8.4899
angles: 98.44 105.52 100.88
Positions (direct):
1 Mg 0.2840 0.1972 0.3849
2 Mg 0.2236 0.5603 0.6860
3 Mg 0.0628 0.7495 0.0221
4 Mg 0.6656 0.8957 0.2660
5 Mg 0.3344 0.1043 0.7340
6 Mg 0.7764 0.4397 0.3140
7 Mg 0.9372 0.2505 0.9779
8 Mg 0.7160 0.8028 0.6151
9 Si 0.1450 0.8100 0.4403
10 Si 0.8550 0.1900 0.5597
11 Si 0.5775 0.8620 0.9311
12 Si 0.2852 0.5559 0.2741
13 Si 0.7148 0.4441 0.7259
14 Si 0.4225 0.1380 0.0689

---

(6)
## PrDy4Pd4 (PBE-GGA)

Data for a relaxed PrDy4Pd4 crystal.

Properties
- SG = P4_2/n, No. 86
- E_form (eV/atom) = -0.6583

abc: 5.7696 9.1164 9.1164
angles: 90.00 90.00 90.00
Positions (direct):
1 Pr 0.0000 0.0000 0.0000
2 Pr 0.5000 0.5000 0.5000
3 Dy 0.4146 0.3279 0.9030
4 Dy 0.9146 0.5970 0.8279
5 Dy 0.4146 0.6721 0.0970
6 Dy 0.0854 0.1721 0.5970
7 Dy 0.5854 0.9030 0.6721
8 Dy 0.0854 0.8279 0.4030
9 Dy 0.9146 0.4030 0.1721
10 Dy 0.5854 0.0970 0.3279
11 Pd 0.5880 0.7905 0.3708
12 Pd 0.5880 0.2095 0.6292
13 Pd 0.0880 0.8708 0.7095
14 Pd 0.9120 0.2905 0.8708
15 Pd 0.9120 0.7095 0.1292
16 Pd 0.4120 0.3708 0.2095
17 Pd 0.4120 0.6292 0.7905
18 Pd 0.0880 0.1292 0.2905

---

The VASP energy results, record by record, are as follows: -40.01, -20.75, -22.61, -56.07, -22.65, -49.88 eV per formula unit.